{
  "formula": "TlInCuCl6",
  "functional": "PBE",
  "state": "optimized geometry",
  "lattice_angstrom": [[6.441, 0.000, 0.000], [-2.670, 5.864, 0.000], [-0.362, -0.555, 7.086]],
  "species": ["Tl", "In", "Cu", "Cl", "Cl", "Cl", "Cl", "Cl", "Cl"],
  "fractional_positions": [[0.000, 0.000, 0.000], [0.666, 0.334, 0.500], [0.321, 0.679, 0.500], [0.356, 0.009, 0.672], [0.358, 0.408, 0.297], [0.593, 0.642, 0.703], [0.627, 0.027, 0.261], [0.974, 0.372, 0.738], [0.991, 0.644, 0.328]],
  "raw_formation_energy_mev_per_atom": -881,
  "sg": "P1 (1)"
}



{
  "formula": "LaPmCuTc",
  "functional": "PBE",
  "state": "optimized geometry",
  "lattice_angstrom": [[0.000, 3.569, 3.569], [3.569, 0.000, 3.569], [3.569, 3.569, 0.000]],
  "species": ["La", "Pm", "Cu", "Tc"],
  "fractional_positions": [[0.000, 0.000, 0.000], [0.500, 0.500, 0.500], [0.750, 0.750, 0.750], [0.250, 0.250, 0.250]],
  "formation_energy_kj_per_mol_atoms": 4.5,
  "sg": "F-43m (216)"
}



{
  "formula": "CdFeAg2",
  "functional": "PBE",
  "state": "optimized geometry",
  "lattice_angstrom": [[1.601, -2.298, 0.000], [1.601, 2.298, 0.000], [0.000, 0.000, 9.437]],
  "species": ["Cd", "Fe", "Ag", "Ag"],
  "fractional_positions": [[0.000, 0.000, 0.000], [0.000, 0.000, 0.500], [0.500, 0.500, 0.268], [0.500, 0.500, 0.732]],
  "formation_energy_kj_per_mol_atoms": 25.4,
  "sg": "Cmmm (65)"
}



Number 1: size of the total moment 0.98 Bohr magnetons per cell. Number 2: size of the total moment 0.00 Bohr magnetons per cell. Number 3: size of the total moment 2.90 Bohr magnetons per cell.